Entry 1:
Here is AcErTm2Tl4 after structural relaxation from Alexandria. Energies are from GGA-PBE.

Geometry as POSCAR:
```
AcErTm2Tl4
1.0
2.724 1.573 9.030
-2.724 1.573 9.030
0.000 -3.146 9.030
Ac Er Tm Tl
1 1 2 4
Cartesian
0.000 0.000 0.000
0.000 0.000 13.545
0.000 0.000 6.715
0.000 0.000 20.375
0.000 0.000 3.493
0.000 0.000 10.321
0.000 0.000 16.770
0.000 0.000 23.598
```

Output
* energy of formation: -2.27 eV/f.u.
* DFT total energy: -3.67 eV/atom

Entry 2:
Here is AcEr2Tl2Zn2 after structural relaxation from Alexandria. Energies are from GGA-PBE.

Geometry as POSCAR:
```
AcEr2Tl2Zn2
1.0
2.446 1.412 9.195
-2.446 1.412 9.195
0.000 -2.824 9.195
Ac Er Tl Zn
1 2 2 2
Cartesian
0.000 0.000 0.000
0.000 0.000 3.741
0.000 0.000 23.844
0.000 0.000 7.129
0.000 0.000 20.455
0.000 0.000 12.280
0.000 0.000 15.304
```

Output
* energy of formation: -1.37 eV/f.u.
* DFT total energy: -3.13 eV/atom

Entry 3:
Here is AcErTlZn after structural relaxation from Alexandria. Energies are from GGA-PBE.

Geometry as POSCAR:
```
AcErTlZn
1.0
7.748 0.000 0.000
0.000 7.748 0.000
0.000 0.000 7.748
Ac Er Tl Zn
4 4 4 4
Cartesian
0.000 0.000 0.000
0.000 3.874 3.874
3.874 0.000 3.874
3.874 3.874 0.000
0.000 0.000 3.874
0.000 3.874 0.000
3.874 0.000 0.000
3.874 3.874 3.874
1.937 1.937 1.937
1.937 5.811 5.811
5.811 1.937 5.811
5.811 5.811 1.937
1.937 1.937 5.811
1.937 5.811 1.937
5.811 1.937 1.937
5.811 5.811 5.811
```

Output
* energy of formation: -1.01 eV/f.u.
* DFT total energy: -3.33 eV/atom